Entry a
Computed, not measured: a geometry-optimized Zr2CrF structure at the PBE with a Hubbard U level of DFT.

Calculated values
Density (Mg/m³): 4.77
Crystal system: tetragonal
Magnetic moment (μB/f.u.): 3.951
DOS at the Fermi energy (states/eV/cell): 4.46

Cell lengths 7.2922, 7.2922, 7.2922 Å; angles 137.25, 137.25, 62.06 degrees
Fractional positions:
Zr  0.0127  0.6250  0.8877
Zr  0.3750  0.2627  0.3877
Zr  0.7373  0.1250  0.1123
Zr  0.8750  0.9873  0.6123
Cr  0.2500  0.7500  0.5000
Cr  0.5000  0.5000  0.0000
F  0.0000  0.0000  0.0000
F  0.7500  0.2500  0.5000

***

Entry b
Computed, not measured: a geometry-optimized Zr2CrF structure at the PBE with a Hubbard U level of DFT.

Calculated values
Density (Mg/m³): 5.53
Crystal system: cubic
Magnetic moment (μB/f.u.): 4.837
DOS at the Fermi energy (states/eV/cell): 3.01

Cell lengths 4.7563, 4.7563, 4.7563 Å; angles 60.00, 60.00, 60.00 degrees
Fractional positions:
Zr  0.2500  0.2500  0.2500
Zr  0.7500  0.7500  0.7500
Cr  0.0000  0.0000  0.0000
F  0.5000  0.5000  0.5000

***

Result of the stability comparison: entry b is the least stable of them.

***

Entry a
Computed, not measured: a geometry-optimized ZrCr2F8 structure at the PBE with a Hubbard U level of DFT.

Calculated values
Density (Mg/m³): 3.40
Crystal system: monoclinic
Magnetic moment (μB/f.u.): 8.000

Cell lengths 9.2563, 9.2563, 5.7591 Å; angles 97.71, 97.71, 20.32 degrees
Fractional positions:
Zr  0.0000  0.0000  0.0000
Cr  0.3262  0.3262  0.4013
Cr  0.6738  0.6738  0.5987
F  0.1081  0.1081  0.5004
F  0.1077  0.1077  0.9924
F  0.2417  0.2417  0.6933
F  0.4937  0.4937  0.7713
F  0.5063  0.5063  0.2287
F  0.7583  0.7583  0.3067
F  0.8923  0.8923  0.0076
F  0.8919  0.8919  0.4996

***

Entry b
Computed, not measured: a geometry-optimized ZrCr2F8 structure at the PBE with a Hubbard U level of DFT.

Calculated values
Density (Mg/m³): 3.61
Crystal system: monoclinic
Magnetic moment (μB/f.u.): 8.000
DOS at the Fermi energy (states/eV/cell): 0.00

Cell lengths 5.6640, 5.6640, 5.1798 Å; angles 100.03, 100.03, 80.70 degrees
Fractional positions:
Zr  0.0000  0.0000  0.0000
Cr  0.3261  0.3261  0.5376
Cr  0.6739  0.6739  0.4624
F  0.0454  0.6886  0.7332
F  0.1727  0.1727  0.7889
F  0.3114  0.9546  0.2668
F  0.4425  0.4425  0.2497
F  0.5575  0.5575  0.7503
F  0.6886  0.0454  0.7332
F  0.8273  0.8273  0.2111
F  0.9546  0.3114  0.2668

***

Result of the stability comparison: entry a is the least stable of them.

***

Entry a
Computed, not measured: a geometry-optimized ZrCrF3 structure at the PBE with a Hubbard U level of DFT.

Calculated values
Density (Mg/m³): 3.98
Crystal system: cubic
Magnetic moment (μB/f.u.): 6.797
DOS at the Fermi energy (states/eV/cell): 3.73

Cell lengths 4.3731, 4.3731, 4.3731 Å; angles 90.00, 90.00, 90.00 degrees
Fractional positions:
Zr  0.0000  0.0000  0.0000
Cr  0.5000  0.5000  0.5000
F  0.0000  0.0000  0.5000
F  0.0000  0.5000  0.0000
F  0.5000  0.0000  0.0000

***

Entry b
Computed, not measured: a geometry-optimized ZrCrF3 structure at the PBE with a Hubbard U level of DFT.

Calculated values
Density (Mg/m³): 4.39
Crystal system: cubic
Magnetic moment (μB/f.u.): 6.877
DOS at the Fermi energy (states/eV/cell): 2.66

Cell lengths 4.2295, 4.2295, 4.2295 Å; angles 90.00, 90.00, 90.00 degrees
Fractional positions:
Zr  0.0000  0.0000  0.0000
Cr  0.5000  0.5000  0.5000
F  0.0000  0.5000  0.5000
F  0.5000  0.0000  0.5000
F  0.5000  0.5000  0.0000

***

Result of the stability comparison: entry b is the least stable of them.

***

Entry a
Computed, not measured: a geometry-optimized ZrCrF2 structure at the PBE with a Hubbard U level of DFT.

Calculated values
Density (Mg/m³): 4.34
Crystal system: trigonal
Magnetic moment (μB/f.u.): 5.613
DOS at the Fermi energy (states/eV/cell): 2.74

Cell lengths 6.6461, 6.6461, 6.6461 Å; angles 31.06, 31.06, 31.06 degrees
Fractional positions:
Zr  0.0000  0.0000  0.0000
Cr  0.5000  0.5000  0.5000
F  0.1115  0.1115  0.1115
F  0.8885  0.8885  0.8885

***

Entry b
Computed, not measured: a geometry-optimized ZrCrF2 structure at the PBE with a Hubbard U level of DFT.

Calculated values
Density (Mg/m³): 5.28
Crystal system: cubic
Magnetic moment (μB/f.u.): 3.618
DOS at the Fermi energy (states/eV/cell): 2.63

Cell lengths 4.3204, 4.3204, 4.3204 Å; angles 60.00, 60.00, 60.00 degrees
Fractional positions:
Zr  0.0000  0.0000  0.0000
Cr  0.5000  0.5000  0.5000
F  0.2500  0.2500  0.2500
F  0.7500  0.7500  0.7500

***

Result of the stability comparison: entry b is the least stable of them.

***

Entry a
Computed, not measured: a geometry-optimized ZrCrF2 structure at the PBE with a Hubbard U level of DFT.

Calculated values
Density (Mg/m³): 4.31
Crystal system: tetragonal
Magnetic moment (μB/f.u.): 2.903
DOS at the Fermi energy (states/eV/cell): 3.96

Cell lengths 6.2229, 6.2229, 6.2229 Å; angles 129.58, 129.58, 74.09 degrees
Fractional positions:
Zr  0.0000  0.0000  0.0000
Zr  0.7500  0.2500  0.5000
Cr  0.2500  0.7500  0.5000
Cr  0.5000  0.5000  0.0000
F  0.1257  0.6250  0.0007
F  0.3750  0.3757  0.5007
F  0.6243  0.1250  0.9993
F  0.8750  0.8743  0.4993

***

Entry b
Computed, not measured: a geometry-optimized ZrCrF2 structure at the PBE with a Hubbard U level of DFT.

Calculated values
Density (Mg/m³): 4.36
Crystal system: trigonal
Magnetic moment (μB/f.u.): 5.064
DOS at the Fermi energy (states/eV/cell): 1.29

Cell lengths 9.0044, 9.0044, 9.0044 Å; angles 19.19, 19.19, 19.19 degrees
Fractional positions:
Zr  0.0000  0.0000  0.0000
Cr  0.5000  0.5000  0.5000
F  0.3911  0.3911  0.3911
F  0.6089  0.6089  0.6089

***

Result of the stability comparison: entry a is the least stable of them.

***

Entry a
Computed, not measured: a geometry-optimized ZrCr3F structure at the PBE with a Hubbard U level of DFT.

Calculated values
Density (Mg/m³): 3.20
Crystal system: cubic
Magnetic moment (μB/f.u.): 12.135
DOS at the Fermi energy (states/eV/cell): 9.61

Cell lengths 5.1714, 5.1714, 5.1714 Å; angles 90.00, 90.00, 90.00 degrees
Fractional positions:
Zr  0.0000  0.0000  0.0000
Cr  0.0000  0.0000  0.5000
Cr  0.0000  0.5000  0.0000
Cr  0.5000  0.0000  0.0000
F  0.5000  0.5000  0.5000

***

Entry b
Computed, not measured: a geometry-optimized ZrCr3F structure at the PBE with a Hubbard U level of DFT.

Calculated values
Density (Mg/m³): 4.84
Crystal system: cubic
Magnetic moment (μB/f.u.): 11.184
DOS at the Fermi energy (states/eV/cell): 10.80

Cell lengths 4.5032, 4.5032, 4.5032 Å; angles 90.00, 90.00, 90.00 degrees
Fractional positions:
Zr  0.0000  0.0000  0.0000
Cr  0.0000  0.5000  0.5000
Cr  0.5000  0.0000  0.5000
Cr  0.5000  0.5000  0.0000
F  0.5000  0.5000  0.5000

***

Result of the stability comparison: entry a is the least stable of them.